1.
Computed, not measured: an optimized crystal structure of Hf3SnIr at the GGA-PBE level of DFT.

```
5
Lattice="5.021 0.000 0.000 0.000 5.021 0.000 0.000 0.000 5.021" Properties=species:S:1:pos:R:3 pbc="T T T"
Hf 0.000 0.000 2.510
Hf 0.000 2.510 0.000
Hf 2.510 0.000 0.000
Sn 2.510 2.510 2.510
Ir 0.000 0.000 0.000
```

Values from the calculation:
ΔE_f (kcal/mol of atoms): -0.5

2.
Computed, not measured: an optimized crystal structure of GdDyMnCu at the GGA-PBE level of DFT.

```
4
Lattice="0.000 3.519 3.519 3.519 0.000 3.519 3.519 3.519 0.000" Properties=species:S:1:pos:R:3 pbc="T T T"
Gd 0.000 0.000 0.000
Dy 3.519 3.519 3.519
Mn 5.279 5.279 5.279
Cu 1.760 1.760 1.760
```

Values from the calculation:
ΔE_f (kcal/mol of atoms): 1.4

3.
Computed, not measured: an optimized crystal structure of BaDy2Te4 at the GGA-PBE level of DFT.

```
14
Lattice="2.250 -7.311 0.000 2.250 7.311 0.000 0.000 0.000 15.377" Properties=species:S:1:pos:R:3 pbc="T T T"
Ba 2.250 5.692 11.533
Ba 2.250 -5.692 3.844
Dy 2.250 1.966 8.703
Dy 2.250 1.966 14.364
Dy 2.250 -1.966 1.014
Dy 2.250 -1.966 6.675
Te 0.000 0.000 0.000
Te 0.000 0.000 7.689
Te 2.250 3.379 1.738
Te 2.250 3.379 5.951
Te 2.250 0.965 11.533
Te 2.250 -0.965 3.844
Te 2.250 -3.379 9.426
Te 2.250 -3.379 13.640
```

Values from the calculation:
Formation energy from raw total energies (kJ/mol of formula units): -1024

4.
Computed, not measured: an optimized crystal structure of MnCoOs2Cl at the GGA-PBE level of DFT.

```
5
Lattice="4.470 0.000 0.000 0.000 4.470 0.000 0.000 0.000 4.253" Properties=species:S:1:pos:R:3 pbc="T T T"
Mn 0.000 0.000 0.000
Co 2.235 2.235 2.127
Os 0.000 2.235 2.127
Os 2.235 0.000 2.127
Cl 2.235 2.235 0.000
```

Values from the calculation:
Formation energy from raw total energies (kJ/mol of formula units): 1019

5.
Computed, not measured: an optimized crystal structure of MgZnGe2P at the GGA-PBE level of DFT.

```
5
Lattice="4.967 0.000 0.000 0.000 4.967 0.000 0.000 0.000 4.555" Properties=species:S:1:pos:R:3 pbc="T T T"
Mg 0.000 0.000 0.000
Zn 2.484 2.484 0.000
Ge 0.000 2.484 2.277
Ge 2.484 0.000 2.277
P 2.484 2.484 2.277
```

Values from the calculation:
ΔE_f (kcal/mol of atoms): 9.8

6.
Computed, not measured: an optimized crystal structure of LaH4Pd2 at the GGA-PBE level of DFT.

```
14
Lattice="0.000 5.900 3.232 4.326 0.000 3.232 4.326 5.900 0.000" Properties=species:S:1:pos:R:3 pbc="T T T"
La 0.000 0.000 0.000
La 2.163 2.950 1.616
H 4.759 3.766 1.501
H 6.055 6.716 3.117
H 3.892 8.033 1.501
H 4.816 4.599 4.441
H 2.597 5.083 3.117
H 3.835 7.200 4.441
H 5.998 7.549 6.057
H 6.979 10.150 6.057
Pd 5.439 5.116 2.699
Pd 3.276 3.734 4.316
Pd 3.213 6.684 2.699
Pd 5.376 8.065 4.316
```

Values from the calculation:
Electronic total energy (eV/cell): -62.0

7.
Computed, not measured: an optimized crystal structure of FeIr2 at the GGA-PBE level of DFT.

```
6
Lattice="1.885 -5.720 0.000 1.885 5.720 0.000 0.000 0.000 3.812" Properties=species:S:1:pos:R:3 pbc="T T T"
Fe 1.885 4.777 2.859
Fe 1.885 -4.777 0.953
Ir 1.885 2.875 0.953
Ir 1.885 0.935 2.859
Ir 1.885 -0.935 0.953
Ir 1.885 -2.875 2.859
```

Values from the calculation:
ΔE_f (kcal/mol of atoms): -0.9

no.,magnetic moment (μB per cell),calculated volume (Å³ per atom)
1,0.0,25.314
2,10.3,21.792
3,0.0,36.141
4,0.3,16.994
5,0.0,22.479
6,0.0,11.784
7,4.8,13.702